Entry 1:
VASP calculation (meta-GGA SCAN) on a PBEsol-optimized structure of SrOs2Pb.

Output
total DFT energy (no corrections): -59.28 eV/atom
D(E_F): 1.00 states/eV per atom
ΔE_f: 1.176 eV per atom
size of the total moment: 0.0 μB/f.u.

abc: 2.917 5.445 5.715
angles: 117.87 103.80 92.02
Sites, in units of the cell vectors:
Os (0.000, 0.000, 0.500)
Os (0.500, 0.500, 0.500)
Pb (0.000, 0.500, 0.000)
Sr (0.500, 0.000, 0.000)



Entry 2:
VASP calculation (meta-GGA SCAN) on a PBEsol-optimized structure of Sr2OsPb.

Output
total DFT energy (no corrections): -47.66 eV/atom
D(E_F): 0.72 states/eV per atom
ΔE_f: 0.389 eV per atom
size of the total moment: 1.6 μB/f.u.

abc: 5.165 5.165 5.165
angles: 60.00 60.00 60.00
Sites, in units of the cell vectors:
Pb (0.250, 0.250, 0.250)
Sr (0.750, 0.750, 0.750)
Sr (0.000, 0.000, 0.000)
Os (0.500, 0.500, 0.500)



Entry 3:
VASP calculation (meta-GGA SCAN) on a PBEsol-optimized structure of TaOsPb2.

Output
total DFT energy (no corrections): -71.47 eV/atom
D(E_F): 0.49 states/eV per atom
ΔE_f: 1.039 eV per atom
size of the total moment: 2.1 μB/f.u.

abc: 4.782 4.782 4.782
angles: 60.00 60.00 60.00
Sites, in units of the cell vectors:
Ta (0.500, 0.500, 0.500)
Pb (0.250, 0.250, 0.250)
Pb (0.750, 0.750, 0.750)
Os (0.000, 0.000, 0.000)



Entry 4:
VASP calculation (meta-GGA SCAN) on a PBEsol-optimized structure of TaOs2Pb.

Output
total DFT energy (no corrections): -70.94 eV/atom
D(E_F): 0.64 states/eV per atom
ΔE_f: 0.588 eV per atom
size of the total moment: 0.0 μB/f.u.

abc: 2.944 4.155 5.523
angles: 90.00 90.00 90.00
Sites, in units of the cell vectors:
Os (0.500, 0.500, 0.245)
Os (0.000, 0.000, 0.987)
Ta (0.500, 0.500, 0.784)
Pb (0.000, 0.000, 0.484)



Entry 5:
VASP calculation (meta-GGA SCAN) on a PBEsol-optimized structure of TaOsPb2.

Output
total DFT energy (no corrections): -71.48 eV/atom
D(E_F): 0.88 states/eV per atom
ΔE_f: 1.026 eV per atom
size of the total moment: 0.0 μB/f.u.

abc: 3.242 4.729 5.211
angles: 90.00 90.00 90.00
Sites, in units of the cell vectors:
Ta (0.500, 0.500, 0.000)
Pb (0.000, 0.000, 0.000)
Pb (0.500, 0.000, 0.500)
Os (0.000, 0.500, 0.500)



Entry 6:
VASP calculation (meta-GGA SCAN) on a PBEsol-optimized structure of TaOs2Pb.

Output
total DFT energy (no corrections): -71.03 eV/atom
D(E_F): 0.44 states/eV per atom
ΔE_f: 0.504 eV per atom
size of the total moment: 0.0 μB/f.u.

abc: 3.138 4.643 4.643
angles: 98.10 90.00 90.00
Sites, in units of the cell vectors:
Os (0.000, 0.000, 0.500)
Os (0.000, 0.500, 0.000)
Ta (0.500, 0.500, 0.500)
Pb (0.500, 0.000, 0.000)